Compound: Li2InRh
Source: Alexandria via LeMat-Bulk
Functional: GGA-PBE
Structure: optimized geometry

Cell: 5.2807 5.2807 4.4559 Å, 65.45 65.45 34.83°
With the nearest neighbours (Å) after each atom.
Fractional coordinates of all 4 atoms:
Li 0.9818 0.9818 0.0190  2 Rh 2.63, 4 Li 2.74-2.76, 2 In 2.90
Li 0.5182 0.5182 0.4810  2 Rh 2.63, 4 Li 2.74-2.76, 2 In 2.90
Rh 0.2500 0.2500 0.2500  4 Li 2.63, 4 In 2.73
In 0.7500 0.7500 0.7500  4 Rh 2.73, 6 Li 2.90-3.05

Results
The calculation puts the total energy at -3.825 eV/atom. Its mass density is 6.02 g/cm³. Its symmetry is C2/m, No. 12.